Cs3ErPu3Te8 | GGA-PBE | optimized geometry

## Properties
- space-group type = R-3m (166)
- uncorrected formation energy (meV/atom) = -1127

Cell lengths 9.0416, 9.0416, 10.4521 Å; angles 115.65, 90.00, 120.00 degrees
Fractional coordinates of all 15 atoms:
Cs: 0.0000 0.0000 0.0000
Cs: 0.0000 0.5000 0.0000
Cs: 0.5000 0.5000 0.0000
Er: 0.0000 0.0000 0.5000
Pu: 0.5000 0.0000 0.5000
Pu: 0.5000 0.5000 0.5000
Pu: 0.0000 0.5000 0.5000
Te: 0.2706 0.5411 0.3117
Te: 0.7294 0.4589 0.6883
Te: 0.7720 0.5441 0.3138
Te: 0.2280 0.4559 0.6862
Te: 0.7721 0.0415 0.3139
Te: 0.2279 0.9585 0.6861
Te: 0.2695 0.0416 0.3139
Te: 0.7305 0.9584 0.6861

CsEr4S6 | GGA-PBE | optimized geometry

## Properties
- space-group type = Cmcm (63)
- uncorrected formation energy (meV/atom) = -1916

Cell lengths 3.9487, 6.8908, 21.2036 Å; angles 90.00, 90.00, 106.65 degrees
Fractional coordinates of all 22 atoms:
Cs: 0.6520 0.3040 0.2500
Cs: 0.3480 0.6960 0.7500
Er: 0.8695 0.7390 0.5388
Er: 0.3993 0.7986 0.1317
Er: 0.1305 0.2610 0.4612
Er: 0.6007 0.2014 0.8683
Er: 0.8695 0.7390 0.9612
Er: 0.1305 0.2610 0.0388
Er: 0.6007 0.2014 0.6317
Er: 0.3993 0.7986 0.3683
S: 0.5000 0.0000 0.0000
S: 0.5000 0.0000 0.5000
S: 0.0309 0.0618 0.3555
S: 0.9691 0.9382 0.6445
S: 0.9691 0.9382 0.8555
S: 0.0309 0.0618 0.1445
S: 0.7697 0.5393 0.4218
S: 0.2303 0.4607 0.5782
S: 0.2303 0.4607 0.9218
S: 0.7697 0.5393 0.0782
S: 0.3570 0.7141 0.2500
S: 0.6430 0.2859 0.7500

Cs2ErS3 | GGA-PBE | optimized geometry

## Properties
- space-group type = Immm (71)
- uncorrected formation energy (meV/atom) = -1252

Cell lengths 4.0372, 6.1585, 8.6034 Å; angles 110.97, 103.57, 90.00 degrees
Fractional coordinates of all 6 atoms:
Cs: 0.6848 0.1848 0.3696
Cs: 0.3152 0.8152 0.6304
Er: 0.0000 0.5000 0.0000
S: 0.3846 0.3846 0.7692
S: 0.0000 0.0000 0.0000
S: 0.6154 0.6154 0.2308

Number 1: calculated volume 42.73 Å³/atom. Number 2: calculated volume 25.13 Å³/atom. Number 3: calculated volume 32.22 Å³/atom.